Material: Ca3Tl4Hg4
Method: DFT, PBE
State: relaxed

The structure belongs to space group Immm (No. 71); the cell edges are 3.809, 8.799 and 18.905 Å and the angles 90.00°, 90.00° and 90.00°. The inequivalent atoms are Ca at (0.000, 0.000, 0.000), Ca at (0.000, 0.500, 0.106), Tl at (0.000, 0.314, 0.343), Hg at (0.000, 0.000, 0.259) and Hg at (0.000, 0.196, 0.500).

Its density of states at the Fermi level is 0.524 states/eV/atom. As for the formation energy from the elements: -0.27 eV per atom.

=====

Material: FeRe2Rh
Method: DFT, PBE
State: relaxed

The structure belongs to space group I4/mmm (No. 139); the cell edges are 3.776, 3.776 and 7.672 Å and the angles 90.00°, 90.00° and 90.00°. The inequivalent atoms are Fe at (0.000, 0.000, 0.000), Re at (0.000, 0.500, 0.250) and Rh at (0.000, 0.000, 0.500).

Its density of states at the Fermi level is 1.064 states/eV/atom. As for the formation energy from the elements: 0.03 eV per atom. Its polymorph energy (0 for the lowest one) is 43 meV per atom.

=====

Material: KZnHgBi
Method: DFT, PBE
State: relaxed

The structure belongs to space group F-43m (No. 216); the cell edges are 7.702, 7.702 and 7.702 Å and the angles 90.00°, 90.00° and 90.00°. The inequivalent atoms are K at (0.000, 0.000, 0.000), Zn at (0.250, 0.250, 0.750), Hg at (0.250, 0.250, 0.250) and Bi at (0.000, 0.000, 0.500).

Its density of states at the Fermi level is 0.248 states/eV/atom. As for the formation energy from the elements: -0.06 eV per atom.

=====

Material: HOs3S
Method: DFT, PBE
State: relaxed

The structure belongs to space group Pm-3m (No. 221); the cell edges are 3.928, 3.928 and 3.928 Å and the angles 90.00°, 90.00° and 90.00°. The inequivalent atoms are H at (0.000, 0.000, 0.000), Os at (0.000, 0.000, 0.500) and S at (0.500, 0.500, 0.500).

Its density of states at the Fermi level is 1.109 states/eV/atom. Its polymorph energy (0 for the lowest one) is 0 meV per atom.

=====

Material: NbSn2As2
Method: DFT, PBE
State: relaxed

The structure belongs to space group P4/mbm (No. 127); the cell edges are 6.870, 6.870 and 4.707 Å and the angles 90.00°, 90.00° and 90.00°. The inequivalent atoms are Nb at (0.000, 0.000, 0.000), Sn at (0.170, 0.330, 0.500) and As at (0.145, 0.645, 0.000).

Its density of states at the Fermi level is 0.718 states/eV/atom. As for the formation energy from the elements: 0.07 eV per atom.

=====

Material: Ac2Nd3Ni2
Method: DFT, PBE
State: relaxed

The structure belongs to space group C2/m (No. 12); the cell edges are 12.421, 3.886 and 9.428 Å and the angles 90.00°, 112.16° and 90.00°. The inequivalent atoms are Ac at (0.168, 0.000, 0.298), Nd at (0.000, 0.500, 0.500), Nd at (0.118, 0.500, 0.920) and Ni at (0.152, 0.000, 0.721).

Its density of states at the Fermi level is 1.144 states/eV/atom. As for the formation energy from the elements: -0.17 eV per atom.

=====

Material: BeAlH2
Method: DFT, PBE
State: relaxed

The structure belongs to space group P1 (No. 1); the cell edges are 4.181, 4.182 and 5.733 Å and the angles 106.01°, 95.99° and 118.26°. The inequivalent atoms are Be at (0.000, 0.000, 0.000), Be at (0.220, 0.477, 0.363), Al at (0.651, 0.321, 0.090), Al at (0.986, 0.906, 0.563), H at (0.239, 0.381, 0.584), H at (0.546, 0.871, 0.436), H at (0.786, 0.587, 0.902) and H at (0.788, 0.059, 0.826).

Its density of states at the Fermi level is 0.054 states/eV/atom. Its polymorph energy (0 for the lowest one) is 17 meV per atom.

=====

Material: NpSb2Os
Method: DFT, PBE
State: relaxed

The structure belongs to space group R-3m (No. 166, hexagonal axes); the cell edges are 5.1994, 5.1994 and 11.2689 Å and the angles 90.00°, 90.00° and 120.00°. The inequivalent atoms are Np at (0.0000, 0.0000, 0.0000), Sb at (0.0000, 0.0000, 0.2613) and Os at (0.0000, 0.0000, 0.5000).

Its density of states at the Fermi level is 3.615 states/eV/atom. As for the formation energy (no corrections): 0.39 eV/atom.